KFe2P3O8F6 | PBE with a Hubbard U | relaxed

a b c (Å): 7.4808 7.6367 10.5799
angles (deg): 101.01 110.10 90.76
Last column: magnetic moment on the atom in μB.
Positions (direct):
O 0.2879 0.4454 0.5421  0.07
F 0.4920 0.5768 0.8297  0.14
F 0.5080 0.4232 0.1703  0.14
O 0.4014 0.9204 0.7970  0.07
O 0.7859 0.4750 0.0466  0.05
P 0.6980 0.9109 0.1785  0.01
O 0.1886 0.1127 0.4383  0.07
O 0.1376 0.1237 0.6987  0.07
O 0.4503 0.2470 0.8977  0.08
O 0.1064 0.6301 0.7196  0.05
F 0.5124 0.2158 0.6111  0.01
P 0.6560 0.7335 0.5144  0.02
P 0.3440 0.2665 0.4856  0.02
O 0.8624 0.8763 0.3013  0.07
F 0.0377 0.2673 0.1024  0.01
F 0.1078 0.5713 0.2239  0.01
O 0.5986 0.0796 0.2030  0.07
F 0.8922 0.4287 0.7761  0.01
O 0.4266 0.2641 0.3721  0.07
K 0.7670 0.0690 0.8091  0.00
O 0.5734 0.7359 0.6279  0.07
Fe 0.3401 0.6795 0.6671  4.45
O 0.7121 0.5546 0.4579  0.07
P 0.0626 0.5767 0.8342  0.01
O 0.8114 0.8873 0.5617  0.07
Fe 0.0000 0.0000 0.5000  4.45
O 0.8936 0.3699 0.2804  0.05
F 0.8347 0.2046 0.4748  0.14
F 0.9623 0.7327 0.8976  0.01
F 0.8007 0.9427 0.0724  0.01
F 0.1653 0.7954 0.5252  0.14
P 0.9374 0.4233 0.1658  0.01
F 0.1993 0.0573 0.9276  0.01
Fe 0.6599 0.3205 0.3329  4.45
O 0.5497 0.7530 0.1023  0.08
Fe 0.5000 0.5000 0.0000  4.46
K 0.2330 0.9310 0.1909  0.00
O 0.2141 0.5250 0.9534  0.05
F 0.4876 0.7842 0.3889  0.01
P 0.3020 0.0891 0.8215  0.01

## Properties
For the density of states at the Fermi level, the calculation gives 0.0 states/eV per cell. For the density, the calculation gives 2.9 Mg/m³. Its total energy is -6.293 eV/atom. Its space-group type is No. 2.